No. 1
Below is a relaxed GdAg6Au crystal, with properties calculated at the GGA-PBE level.

Calculated values
**Energy of formation**: -0.1005 eV per atom
**Total DFT energy (no corrections)**: -3.209 eV/atom
**Symmetry**: Pmm2, No. 25

Unit cell a=4.9251 b=6.0152 c=5.1658 alpha=90.00 beta=90.00 gamma=90.00
Sites, in units of the cell vectors:
Ag1 0.0000 0.7604 0.3424
Ag2 0.5000 0.7645 0.6630
Ag3 0.0000 0.5000 0.8126
Ag4 0.0000 0.2396 0.3424
Au1 0.0000 0.0000 0.8513
Ag5 0.5000 0.0000 0.1620
Ag6 0.5000 0.2355 0.6630
Gd1 0.5000 0.5000 0.1634


No. 2
Below is a relaxed PrSiAg crystal, with properties calculated at the GGA-PBE level.

Calculated values
**Total DFT energy (no corrections)**: -4.152 eV/atom
**Symmetry**: F-43m, No. 216

Unit cell a=4.8915 b=4.8915 c=4.8915 alpha=60.00 beta=60.00 gamma=60.00
Sites, in units of the cell vectors:
Pr1 0.0000 0.0000 0.0000
Si1 0.7500 0.7500 0.7500
Ag1 0.2500 0.2500 0.2500


No. 3
Below is a relaxed Ho2TlIn3 crystal, with properties calculated at the GGA-PBE level.

Calculated values
**Total DFT energy (no corrections)**: -3.670 eV/atom
**Offset from the most stable computed form**: 3 meV/atom
**Symmetry**: Cmmm, No. 65

Unit cell a=7.5029 b=7.5029 c=4.6608 alpha=90.00 beta=90.00 gamma=143.92
Sites, in units of the cell vectors:
In1 0.6774 0.3226 0.5000
In2 0.5000 0.5000 0.0000
Ho1 0.8446 0.1554 0.0000
Tl1 0.0000 0.0000 0.5000
In3 0.3226 0.6774 0.5000
Ho2 0.1554 0.8446 0.0000


No. 4
Below is a relaxed AsIr2Pd crystal, with properties calculated at the GGA-PBE level.

Calculated values
**Total DFT energy (no corrections)**: -6.593 eV/atom
**Symmetry**: F-43m, No. 216

Unit cell a=4.4294 b=4.4294 c=4.4294 alpha=60.00 beta=60.00 gamma=60.00
Sites, in units of the cell vectors:
Ir1 0.0000 0.0000 0.0000
Ir2 0.7500 0.7500 0.7500
As1 0.5000 0.5000 0.5000
Pd1 0.2500 0.2500 0.2500


No. 5
Below is a relaxed NbFeGePd crystal, with properties calculated at the GGA-PBE level.

Calculated values
**Total DFT energy (no corrections)**: -7.142 eV/atom
**Symmetry**: F-43m, No. 216

Unit cell a=4.3929 b=4.3929 c=4.3929 alpha=60.00 beta=60.00 gamma=60.00
Sites, in units of the cell vectors:
Pd1 0.2500 0.2500 0.2500
Fe1 0.7500 0.7500 0.7500
Nb1 0.5000 0.5000 0.5000
Ge1 0.0000 0.0000 0.0000


No. 6
Below is a relaxed Hf4SbAsN2 crystal, with properties calculated at the GGA-PBE level.

Calculated values
**Total DFT energy (no corrections)**: -9.302 eV/atom
**Symmetry**: P-6m2, No. 187

Unit cell a=3.4098 b=3.4098 c=12.7621 alpha=90.00 beta=90.00 gamma=120.00
Sites, in units of the cell vectors:
Hf1 0.0000 0.0000 0.3296
Sb1 0.6667 0.3333 0.5000
Hf2 0.6667 0.3333 0.1460
Hf3 0.6667 0.3333 0.8540
As1 0.0000 0.0000 0.0000
N1 0.3333 0.6667 0.2382
N2 0.3333 0.6667 0.7618
Hf4 0.0000 0.0000 0.6704


No. 7
Below is a relaxed FeTcAsIr crystal, with properties calculated at the GGA-PBE level.

Calculated values
**Total DFT energy (no corrections)**: -7.867 eV/atom
**Offset from the most stable computed form**: 0 meV/atom
**Symmetry**: F-43m, No. 216

Unit cell a=4.3096 b=4.3096 c=4.3096 alpha=60.00 beta=60.00 gamma=60.00
Sites, in units of the cell vectors:
As1 0.0000 0.0000 0.0000
Fe1 0.7500 0.7500 0.7500
Ir1 0.5000 0.5000 0.5000
Tc1 0.2500 0.2500 0.2500


No. 8
Below is a relaxed Cu3Cl4 crystal, with properties calculated at the GGA-PBE level.

Calculated values
**Total DFT energy (no corrections)**: -3.167 eV/atom
**Offset from the most stable computed form**: 0 meV/atom
**Symmetry**: I-42m, No. 121

Unit cell a=6.5357 b=6.5357 c=6.5357 alpha=131.79 beta=131.79 gamma=70.57
Sites, in units of the cell vectors:
Cl1 0.3727 0.8805 0.0000
Cu1 0.0000 0.0000 0.0000
Cu2 0.2500 0.7500 0.5000
Cu3 0.7500 0.2500 0.5000
Cl2 0.8805 0.3727 0.0000
Cl3 0.6273 0.6273 0.5078
Cl4 0.1195 0.1195 0.4922


No. 9
Below is a relaxed Hf2Fe3Mo4C3 crystal, with properties calculated at the GGA-PBE level.

Calculated values
**Total DFT energy (no corrections)**: -9.870 eV/atom
**Symmetry**: C2/c, No. 15

Unit cell a=5.2741 b=5.2741 c=13.5634 alpha=101.46 beta=101.46 gamma=59.95
Last column: magnetic moment on the atom in μB.
Sites, in units of the cell vectors:
C1 0.5000 0.0000 0.0000  -0.01
Fe1 0.0930 0.4149 0.2494  2.15
Mo1 0.7991 0.9779 0.9152  -0.04
Hf1 0.4593 0.6253 0.8824  -0.12
Fe2 0.5851 0.9070 0.2506  2.14
C2 0.8226 0.3387 0.0000  0.00
Mo2 0.0221 0.2009 0.5848  -0.04
Hf2 0.6253 0.4593 0.3824  -0.12
Mo3 0.3060 0.1424 0.4152  -0.03
Mo4 0.9779 0.7991 0.4152  -0.04
Hf3 0.5407 0.3747 0.1176  -0.12
C3 0.3387 0.8226 0.5000  0.00
Mo5 0.8576 0.6940 0.0848  -0.04
C4 0.6613 0.1774 0.5000  0.00
Fe3 0.9070 0.5851 0.7506  2.15
C5 0.0000 0.5000 0.5000  -0.01
C6 0.1774 0.6613 0.0000  0.00
Fe4 0.9208 0.0792 0.7500  2.20
Fe5 0.4149 0.0930 0.7494  2.14
Mo6 0.2009 0.0221 0.0848  -0.04
Fe6 0.0792 0.9208 0.2500  2.20
Mo7 0.6940 0.8576 0.5848  -0.03
Mo8 0.1424 0.3060 0.9152  -0.04
Hf4 0.3747 0.5407 0.6176  -0.12


No. 10
Below is a relaxed Hg5B crystal, with properties calculated at the GGA-PBE level.

Calculated values
**Total DFT energy (no corrections)**: -0.451 eV/atom
**Symmetry**: P6/mmm, No. 191

Unit cell a=5.7015 b=5.7015 c=5.8217 alpha=90.00 beta=90.00 gamma=120.00
Sites, in units of the cell vectors:
B1 0.0000 0.0000 0.0000
Hg1 0.0000 0.5000 0.5000
Hg2 0.3333 0.6667 0.0000
Hg3 0.5000 0.0000 0.5000
Hg4 0.5000 0.5000 0.5000
Hg5 0.6667 0.3333 0.0000


No. 11
Below is a relaxed LiGaPt2 crystal, with properties calculated at the GGA-PBE level.

Calculated values
**Total DFT energy (no corrections)**: -4.762 eV/atom
**Symmetry**: P6_3/mmc, No. 194

Unit cell a=4.3082 b=4.3082 c=7.8131 alpha=90.00 beta=90.00 gamma=120.00
Sites, in units of the cell vectors:
Ga1 0.6667 0.3333 0.7500
Pt1 0.3333 0.6667 0.9178
Pt2 0.3333 0.6667 0.5822
Pt3 0.6667 0.3333 0.4178
Pt4 0.6667 0.3333 0.0822
Li1 0.0000 0.0000 0.0000
Li2 0.0000 0.0000 0.5000
Ga2 0.3333 0.6667 0.2500


No. 12
Below is a relaxed LuZnCuSi crystal, with properties calculated at the GGA-PBE level.

Calculated values
**Total DFT energy (no corrections)**: -3.887 eV/atom
**Offset from the most stable computed form**: 19 meV/atom
**Symmetry**: F-43m, No. 216

Unit cell a=4.5174 b=4.5174 c=4.5174 alpha=60.00 beta=60.00 gamma=60.00
Sites, in units of the cell vectors:
Cu1 0.7500 0.7500 0.7500
Si1 0.0000 0.0000 0.0000
Lu1 0.5000 0.5000 0.5000
Zn1 0.2500 0.2500 0.2500